No. 1
{"formula": "LiTcAg2", "functional": "meta-GGA SCAN", "state": "PBEsol geometry", "magnetic_moment_mub_per_fu": 0.863, "n_ef_per_ev_atom": 0.408, "space_group": "Pmm2, No. 25", "e_tot_ev_per_atom": -24.7761, "e_form_ev_per_atom": 0.270, "lattice": [[-2.422, -0.329, -0.941], [-1.533, -1.020, 4.303], [-0.959, 4.787, 0.793]], "species": ["Li", "Ag", "Ag", "Tc"], "fractional_positions": [[0.500, 0.000, 0.550], [0.000, 0.500, 0.695], [0.000, 0.000, 0.059], [0.500, 0.500, 0.195]]}

No. 2
{"formula": "Sb2TeCF", "functional": "meta-GGA SCAN", "state": "PBEsol geometry", "magnetic_moment_mub_per_fu": 0.000, "n_ef_per_ev_atom": 0.586, "e_form_raw_ev_per_atom": 0.735, "space_group": "P4/mmm, No. 123", "e_tot_ev_per_atom": -24.3478, "lattice": [[4.635, 0.000, 0.000], [0.000, 4.635, 0.000], [0.000, 0.000, 4.781]], "species": ["F", "C", "Sb", "Sb", "Te"], "fractional_positions": [[0.500, 0.500, 0.500], [0.000, 0.000, 0.000], [0.000, 0.500, 0.000], [0.500, 0.000, 0.000], [0.000, 0.000, 0.500]]}

No. 3
{"formula": "Sr2LiCa", "functional": "meta-GGA SCAN", "state": "PBEsol geometry", "magnetic_moment_mub_per_fu": 0.072, "n_ef_per_ev_atom": 0.725, "space_group": "P4mm, No. 99", "e_tot_ev_per_atom": -14.1382, "e_form_ev_per_atom": 0.013, "lattice": [[-1.864, -3.526, 1.183], [-0.953, -0.827, -3.964], [8.251, -4.700, -1.003]], "species": ["Li", "Sr", "Sr", "Ca"], "fractional_positions": [[0.500, 0.500, 0.731], [0.000, 0.000, 0.955], [0.500, 0.500, 0.266], [0.000, 0.000, 0.548]]}

No. 4
{"formula": "LiHgPt2", "functional": "meta-GGA SCAN", "state": "PBEsol geometry", "magnetic_moment_mub_per_fu": 0.000, "n_ef_per_ev_atom": 0.355, "space_group": "P4/mmm, No. 123", "e_tot_ev_per_atom": -52.9336, "e_form_ev_per_atom": -0.198, "lattice": [[3.006, 0.000, 0.000], [0.000, 3.006, 0.000], [0.000, 0.000, 6.597]], "species": ["Hg", "Li", "Pt", "Pt"], "fractional_positions": [[0.500, 0.500, 0.000], [0.500, 0.500, 0.500], [0.000, 0.000, 0.287], [0.000, 0.000, 0.713]]}